Density functional theory data (GGA-PBE) for a relaxed structure of Mn4HgPt.

Summary:
**Crystal system**: cubic
**Magnetic moment**: 8.21 Bohr magnetons per cell
**Calculated density**: 12.343 g cm⁻³
**DFT total energy**: -6.875 eV per atom
**SG**: F-43m (216)

Cell: 4.8922 4.8922 4.8922 Å, 60.00 60.00 60.00°
Last column: nearest neighbours and their distance in Å.
Fractional positions:
Hg (0.0000, 0.0000, 0.0000)  12 Mn 2.87, 4 Pt 3.00
Mn (0.3749, 0.3749, 0.8754)  6 Mn 2.44-2.45
Mn (0.8754, 0.3749, 0.3749)  6 Mn 2.44-2.45
Mn (0.3749, 0.3749, 0.3749)  6 Mn 2.44-2.45
Mn (0.3749, 0.8754, 0.3749)  6 Mn 2.44-2.45
Pt (0.7500, 0.7500, 0.7500)  12 Mn 2.87, 4 Hg 3.00

Density functional theory data (GGA-PBE) for a relaxed structure of MnHg2Pt.

Summary:
**Crystal system**: tetragonal
**Polymorph energy (0 for the lowest one)**: 310 meV per atom
**Magnetic moment**: 8.37 Bohr magnetons per cell
**Calculated density**: 13.327 g cm⁻³
**SG**: I-42d (122)

Cell: 7.6028 7.6028 6.0649 Å, 51.19 51.19 90.00°
Last column: nearest neighbours and their distance in Å.
Fractional positions:
Hg (0.6253, 0.1250, 0.2500)  2 Pt 2.78, 2 Mn 2.78, 2 Hg 2.81
Hg (0.3750, 0.3747, 0.7500)  2 Pt 2.78, 2 Mn 2.78, 2 Hg 2.81
Hg (0.8750, 0.8753, 0.7500)  2 Pt 2.78, 2 Mn 2.78, 2 Hg 2.81
Hg (0.1247, 0.6250, 0.2500)  2 Pt 2.78, 2 Mn 2.78, 2 Hg 2.81
Mn (0.5000, 0.5000, 0.0000)  4 Hg 2.78, 2 Pt 2.81
Mn (0.2500, 0.7500, 0.5000)  4 Hg 2.78, 2 Pt 2.81
Pt (0.7500, 0.2500, 0.5000)  4 Hg 2.78, 2 Mn 2.81
Pt (0.0000, 0.0000, 0.0000)  4 Hg 2.78, 2 Mn 2.81

Density functional theory data (GGA-PBE) for a relaxed structure of Mn2HgPt.

Summary:
**Crystal system**: tetragonal
**Magnetic moment**: 8.38 Bohr magnetons per cell
**Calculated density**: 12.442 g cm⁻³
**DFT total energy**: -6.178 eV per atom
**SG**: P4/mmm (123)

Cell: 3.1224 3.1224 6.9204 Å, 90.00 90.00 90.00°
Last column: nearest neighbours and their distance in Å.
Fractional positions:
Hg (0.5000, 0.5000, 0.7500)  8 Mn 2.92, 4 Hg 3.12
Mn (0.0000, 0.0000, 0.4746)  4 Pt 2.70, 4 Hg 2.92
Mn (0.0000, 0.0000, 0.0254)  4 Pt 2.70, 4 Hg 2.92
Pt (0.5000, 0.5000, 0.2500)  8 Mn 2.70

Density functional theory data (GGA-PBE) for a relaxed structure of MnHgPt2.

Summary:
**Crystal system**: orthorhombic
**Magnetic moment**: 4.47 Bohr magnetons per cell
**Calculated density**: 16.009 g cm⁻³
**DFT total energy**: -5.489 eV per atom
**SG**: Cmmm (65)

Cell: 6.5953 4.7836 3.0228 Å, 90.03 62.67 122.98°
Last column: nearest neighbours and their distance in Å.
Fractional positions:
Mn (0.5000, 0.5000, 0.0000)  8 Pt 2.83, 2 Hg 2.93, 2 Mn 3.02
Pt (0.0000, 0.0000, 0.0000)  4 Hg 2.83, 4 Mn 2.83, 4 Pt 2.93-3.02
Pt (0.5000, 0.0000, 0.5000)  4 Mn 2.83, 4 Hg 2.83, 4 Pt 2.93-3.02
Hg (0.0000, 0.5000, 0.5000)  8 Pt 2.83, 2 Mn 2.93, 2 Hg 3.02

Density functional theory data (GGA-PBE) for a relaxed structure of MnHg2Pt2.

Summary:
**Crystal system**: tetragonal
**Magnetic moment**: 8.38 Bohr magnetons per cell
**Calculated density**: 14.758 g cm⁻³
**DFT total energy**: -4.372 eV per atom
**SG**: P4/mbm (127)

Cell: 6.7480 6.7480 4.1823 Å, 90.00 90.00 90.00°
Last column: nearest neighbours and their distance in Å.
Fractional positions:
Hg (0.1670, 0.6670, 0.5000)  6 Pt 2.79-2.95
Hg (0.8330, 0.3330, 0.5000)  6 Pt 2.79-2.95
Hg (0.3330, 0.1670, 0.5000)  6 Pt 2.79-2.95
Hg (0.6670, 0.8330, 0.5000)  6 Pt 2.79-2.95
Mn (0.0000, 0.0000, 0.0000)  4 Pt 2.61
Mn (0.5000, 0.5000, 0.0000)  4 Pt 2.61
Pt (0.8602, 0.6398, 0.0000)  2 Mn 2.61, 1 Pt 2.67, 2 Hg 2.79
Pt (0.3602, 0.8602, 0.0000)  2 Mn 2.61, 1 Pt 2.67, 2 Hg 2.79
Pt (0.6398, 0.1398, 0.0000)  2 Mn 2.61, 1 Pt 2.67, 2 Hg 2.79
Pt (0.1398, 0.3602, 0.0000)  2 Mn 2.61, 1 Pt 2.67, 2 Hg 2.79

Density functional theory data (GGA-PBE) for a relaxed structure of MnHg3Pt.

Summary:
**Crystal system**: cubic
**Polymorph energy (0 for the lowest one)**: 386 meV per atom
**Magnetic moment**: 3.77 Bohr magnetons per cell
**Calculated density**: 10.953 g cm⁻³
**SG**: Pm-3m (221)

Cell: 5.0546 5.0546 5.0546 Å, 90.00 90.00 90.00°
Last column: nearest neighbours and their distance in Å.
Fractional positions:
Hg (0.0000, 0.0000, 0.5000)  2 Mn 2.53
Hg (0.0000, 0.5000, 0.0000)  2 Mn 2.53
Hg (0.5000, 0.0000, 0.0000)  2 Mn 2.53
Pt (0.5000, 0.5000, 0.5000)  12 Hg 3.57
Mn (0.0000, 0.0000, 0.0000)  6 Hg 2.53

Density functional theory data (GGA-PBE) for a relaxed structure of ScMnHgPt2.

Summary:
**Crystal system**: tetragonal
**Magnetic moment**: 3.53 Bohr magnetons per cell
**Calculated density**: 10.244 g cm⁻³
**DFT total energy**: -4.843 eV per atom
**SG**: P4/mmm (123)

Cell: 4.8290 4.8008 4.8290 Å, 90.00 90.00 90.00°
Last column: nearest neighbours and their distance in Å.
Fractional positions:
Hg (0.5000, 0.5000, 0.5000)  8 Pt 3.40, 4 Mn 3.41
Pt (0.5000, 0.0000, 0.0000)  2 Sc 2.41
Pt (0.0000, 0.0000, 0.5000)  2 Sc 2.41
Mn (0.0000, 0.5000, 0.0000)  2 Sc 2.40
Sc (0.0000, 0.0000, 0.0000)  2 Mn 2.40, 4 Pt 2.41

Density functional theory data (GGA-PBE) for a relaxed structure of Mn2TcHgPt.

Summary:
**Crystal system**: tetragonal
**Magnetic moment**: 7.11 Bohr magnetons per cell
**Calculated density**: 8.748 g cm⁻³
**DFT total energy**: -6.003 eV per atom
**SG**: P4/mmm (123)

Cell: 4.8831 4.8047 4.8831 Å, 90.00 90.00 90.00°
Last column: nearest neighbours and their distance in Å.
Fractional positions:
Pt (0.0000, 0.0000, 0.0000)  2 Tc 2.40, 4 Mn 2.44
Mn (0.0000, 0.0000, 0.5000)  2 Pt 2.44
Mn (0.5000, 0.0000, 0.0000)  2 Pt 2.44
Hg (0.5000, 0.5000, 0.5000)  8 Mn 3.43, 4 Tc 3.45
Tc (0.0000, 0.5000, 0.0000)  2 Pt 2.40

Density functional theory data (GGA-PBE) for a relaxed structure of MnHg2TePt.

Summary:
**E_form (uncorrected)**: 0.475 eV/atom
**Crystal system**: tetragonal
**Magnetic moment**: 5.14 Bohr magnetons per cell
**Calculated density**: 8.784 g cm⁻³
**SG**: P4/mmm (123)

Cell: 5.2147 5.4140 5.2147 Å, 90.00 90.00 90.00°
Last column: nearest neighbours and their distance in Å.
Fractional positions:
Hg (0.0000, 0.0000, 0.5000)  2 Pt 2.61
Hg (0.5000, 0.0000, 0.0000)  2 Pt 2.61
Te (0.0000, 0.5000, 0.0000)  2 Pt 2.71
Pt (0.0000, 0.0000, 0.0000)  4 Hg 2.61, 2 Te 2.71
Mn (0.5000, 0.5000, 0.5000)  4 Te 3.69, 8 Hg 3.76

Density functional theory data (GGA-PBE) for a relaxed structure of PuMn2Hg.

Summary:
**Crystal system**: tetragonal
**Magnetic moment**: 11.08 Bohr magnetons per cell
**Calculated density**: 12.525 g cm⁻³
**DFT total energy**: -7.663 eV per atom
**SG**: P4/mmm (123)

Cell: 3.0529 4.9069 4.9069 Å, 90.00 90.00 90.00°
Last column: nearest neighbours and their distance in Å.
Fractional positions:
Hg (0.5000, 0.5000, 0.5000)  8 Mn 2.89, 2 Hg 3.05
Mn (0.0000, 0.5000, 0.0000)  4 Hg 2.89, 4 Pu 2.89, 2 Mn 3.05
Mn (0.0000, 0.0000, 0.5000)  4 Hg 2.89, 4 Pu 2.89, 2 Mn 3.05
Pu (0.5000, 0.0000, 0.0000)  8 Mn 2.89, 2 Pu 3.05

Density functional theory data (GGA-PBE) for a relaxed structure of Pu2MnHg.

Summary:
**Crystal system**: tetragonal
**Polymorph energy (0 for the lowest one)**: 313 meV per atom
**Magnetic moment**: 14.97 Bohr magnetons per cell
**Calculated density**: 13.866 g cm⁻³
**SG**: P4/mmm (123)

Cell: 4.9971 4.2213 4.2213 Å, 90.00 90.00 90.00°
Last column: nearest neighbours and their distance in Å.
Fractional positions:
Hg (0.5000, 0.5000, 0.5000)  4 Mn 2.98, 8 Pu 3.27
Pu (0.0000, 0.5000, 0.0000)  4 Pu 2.98, 4 Hg 3.27, 4 Mn 3.27
Pu (0.0000, 0.0000, 0.5000)  4 Pu 2.98, 4 Hg 3.27, 4 Mn 3.27
Mn (0.5000, 0.0000, 0.0000)  4 Hg 2.98, 8 Pu 3.27

Density functional theory data (GGA-PBE) for a relaxed structure of Pu2MnHg.

Summary:
**Crystal system**: cubic
**Polymorph energy (0 for the lowest one)**: 177 meV per atom
**Magnetic moment**: 8.16 Bohr magnetons per cell
**Calculated density**: 13.108 g cm⁻³
**SG**: Fm-3m (225)

Cell: 5.1071 5.1071 5.1071 Å, 60.00 60.00 60.00°
Last column: nearest neighbours and their distance in Å.
Fractional positions:
Mn (0.5000, 0.5000, 0.5000)  8 Pu 3.13
Pu (0.2500, 0.2500, 0.2500)  4 Hg 3.13, 4 Mn 3.13
Pu (0.7500, 0.7500, 0.7500)  4 Mn 3.13, 4 Hg 3.13
Hg (0.0000, 0.0000, 0.0000)  8 Pu 3.13

Density functional theory data (GGA-PBE) for a relaxed structure of Pu2MnHg.

Summary:
**Crystal system**: tetragonal
**Polymorph energy (0 for the lowest one)**: 0 meV per atom
**Magnetic moment**: 8.71 Bohr magnetons per cell
**Calculated density**: 14.124 g cm⁻³
**SG**: P4/mmm (123)

Cell: 3.1875 3.1875 8.6037 Å, 90.00 90.00 90.00°
Last column: nearest neighbours and their distance in Å.
Fractional positions:
Pu (0.0000, 0.0000, 0.2096)  4 Mn 2.89, 4 Pu 3.19
Pu (0.0000, 0.0000, 0.7904)  4 Mn 2.89, 4 Pu 3.19
Mn (0.5000, 0.5000, 0.0000)  8 Pu 2.89, 4 Mn 3.19
Hg (0.5000, 0.5000, 0.5000)  4 Hg 3.19, 8 Pu 3.36

Density functional theory data (GGA-PBE) for a relaxed structure of PuMnHg.

Summary:
**Crystal system**: tetragonal
**Polymorph energy (0 for the lowest one)**: 0 meV per atom
**Magnetic moment**: 2.41 Bohr magnetons per cell
**Calculated density**: 13.349 g cm⁻³
**SG**: I4mm (107)

Cell: 3.2149 3.2149 6.4274 Å, 104.48 104.48 90.00°
Last column: nearest neighbours and their distance in Å.
Fractional positions:
Pu (0.3152, 0.3152, 0.6304)  4 Mn 2.90, 4 Pu 3.21
Mn (0.6651, 0.6651, 0.3301)  4 Hg 2.87, 4 Pu 2.90
Hg (0.0197, 0.0197, 0.0395)  4 Mn 2.87

Density functional theory data (GGA-PBE) for a relaxed structure of PuMnHg.

Summary:
**Crystal system**: monoclinic
**Polymorph energy (0 for the lowest one)**: 51 meV per atom
**Magnetic moment**: 5.35 Bohr magnetons per cell
**Calculated density**: 13.290 g cm⁻³
**SG**: C2/m (12)

Cell: 3.1583 6.4974 12.4897 Å, 147.02 90.00 104.07°
Last column: nearest neighbours and their distance in Å.
Fractional positions:
Pu (0.0603, 0.1207, 0.4036)  4 Mn 2.76-2.89
Pu (0.9397, 0.8793, 0.5964)  4 Mn 2.76-2.89
Mn (0.7092, 0.4183, 0.7119)  1 Mn 2.75, 4 Pu 2.76-2.89, 4 Hg 2.93-2.95
Mn (0.2908, 0.5817, 0.2881)  1 Mn 2.75, 4 Pu 2.76-2.89, 4 Hg 2.93-2.95
Hg (0.5555, 0.1110, 0.9228)  4 Mn 2.93-2.95, 3 Hg 3.16-3.22, 1 Pu 3.23
Hg (0.4445, 0.8890, 0.0772)  4 Mn 2.93-2.95, 3 Hg 3.16-3.22, 1 Pu 3.23

Density functional theory data (GGA-PBE) for a relaxed structure of PuMnHgRh.

Summary:
**Crystal system**: cubic
**Magnetic moment**: 1.87 Bohr magnetons per cell
**Calculated density**: 13.653 g cm⁻³
**DFT total energy**: -7.892 eV per atom
**SG**: F-43m (216)

Cell: 4.6969 4.6969 4.6969 Å, 60.00 60.00 60.00°
Last column: nearest neighbours and their distance in Å.
Fractional positions:
Hg (0.7500, 0.7500, 0.7500)  4 Mn 2.88, 4 Rh 2.88
Mn (0.5000, 0.5000, 0.5000)  4 Hg 2.88, 4 Pu 2.88
Rh (0.0000, 0.0000, 0.0000)  4 Hg 2.88, 4 Pu 2.88
Pu (0.2500, 0.2500, 0.2500)  4 Mn 2.88, 4 Rh 2.88

Density functional theory data (GGA-PBE) for a relaxed structure of PuMnHgRu.

Summary:
**Crystal system**: cubic
**Magnetic moment**: 1.74 Bohr magnetons per cell
**Calculated density**: 13.894 g cm⁻³
**DFT total energy**: -8.173 eV per atom
**SG**: F-43m (216)

Cell: 4.6648 4.6648 4.6648 Å, 60.00 60.00 60.00°
Last column: nearest neighbours and their distance in Å.
Fractional positions:
Ru (0.2500, 0.2500, 0.2500)  4 Hg 2.86, 4 Pu 2.86
Pu (0.5000, 0.5000, 0.5000)  4 Ru 2.86, 4 Mn 2.86
Hg (0.0000, 0.0000, 0.0000)  4 Mn 2.86, 4 Ru 2.86
Mn (0.7500, 0.7500, 0.7500)  4 Hg 2.86, 4 Pu 2.86

Density functional theory data (GGA-PBE) for a relaxed structure of RbMnHg3.

Summary:
**Crystal system**: cubic
**Polymorph energy (0 for the lowest one)**: 0 meV per atom
**Magnetic moment**: 3.68 Bohr magnetons per cell
**Calculated density**: 7.810 g cm⁻³
**SG**: Pm-3m (221)

Cell: 5.4038 5.4038 5.4038 Å, 90.00 90.00 90.00°
Last column: nearest neighbours and their distance in Å.
Fractional positions:
Hg (0.0000, 0.5000, 0.0000)  2 Mn 2.70
Hg (0.5000, 0.0000, 0.0000)  2 Mn 2.70
Hg (0.0000, 0.0000, 0.5000)  2 Mn 2.70
Mn (0.0000, 0.0000, 0.0000)  6 Hg 2.70
Rb (0.5000, 0.5000, 0.5000)  12 Hg 3.82

Density functional theory data (GGA-PBE) for a relaxed structure of RbMn3Hg.

Summary:
**Crystal system**: cubic
**Polymorph energy (0 for the lowest one)**: 1190 meV per atom
**Magnetic moment**: 11.90 Bohr magnetons per cell
**Calculated density**: 5.644 g cm⁻³
**SG**: Pm-3m (221)

Cell: 5.0999 5.0999 5.0999 Å, 90.00 90.00 90.00°
Last column: nearest neighbours and their distance in Å.
Fractional positions:
Rb (0.0000, 0.0000, 0.0000)  6 Mn 2.55
Mn (0.0000, 0.5000, 0.0000)  2 Rb 2.55
Mn (0.5000, 0.0000, 0.0000)  2 Rb 2.55
Mn (0.0000, 0.0000, 0.5000)  2 Rb 2.55
Hg (0.5000, 0.5000, 0.5000)  12 Mn 3.61

Density functional theory data (GGA-PBE) for a relaxed structure of RbMn3Hg.

Summary:
**Crystal system**: cubic
**Polymorph energy (0 for the lowest one)**: 0 meV per atom
**Magnetic moment**: 13.44 Bohr magnetons per cell
**Calculated density**: 5.040 g cm⁻³
**SG**: Pm-3m (221)

Cell: 5.2961 5.2961 5.2961 Å, 90.00 90.00 90.00°
Last column: nearest neighbours and their distance in Å.
Fractional positions:
Hg (0.0000, 0.0000, 0.0000)  6 Mn 2.65
Mn (0.5000, 0.0000, 0.0000)  2 Hg 2.65
Mn (0.0000, 0.5000, 0.0000)  2 Hg 2.65
Mn (0.0000, 0.0000, 0.5000)  2 Hg 2.65
Rb (0.5000, 0.5000, 0.5000)  12 Mn 3.74

Number 1: N(E_F) 9.76 states/eV/cell. Number 2: N(E_F) 4.49 states/eV/cell. Number 3: N(E_F) 1.65 states/eV/cell. Number 4: N(E_F) 1.43 states/eV/cell. Number 5: N(E_F) 4.60 states/eV/cell. Number 6: N(E_F) 4.30 states/eV/cell. Number 7: N(E_F) 3.18 states/eV/cell. Number 8: N(E_F) 4.61 states/eV/cell. Number 9: N(E_F) 3.12 states/eV/cell. Number 10: N(E_F) 13.88 states/eV/cell. Number 11: N(E_F) 13.23 states/eV/cell. Number 12: N(E_F) 12.73 states/eV/cell. Number 13: N(E_F) 10.87 states/eV/cell. Number 14: N(E_F) 4.70 states/eV/cell. Number 15: N(E_F) 9.77 states/eV/cell. Number 16: N(E_F) 5.94 states/eV/cell. Number 17: N(E_F) 4.77 states/eV/cell. Number 18: N(E_F) 6.22 states/eV/cell. Number 19: N(E_F) 4.82 states/eV/cell. Number 20: N(E_F) 6.83 states/eV/cell.